# HfTc3Bi

A geometry-optimized HfTc3Bi structure (PBE-GGA, Alexandria via LeMat-Bulk).

## Properties
energy above the most stable polymorph in this dataset = 0.0 meV/atom
V = 113 Å³/cell
formation energy from the elements = 1610 meV/atom
Fermi-level density of states = 1.26 states/eV/atom
size of the total moment = 2.85 μB per cell

a b c (Å): 4.8357 4.8357 4.8357
angles (deg): 90.00 90.00 90.00
Closest atoms and distances in Å follow each position.
Space group Pm-3m (No. 221)
One atom of each set of equivalent atoms:
Hf1 0.0000 0.0000 0.0000 (multiplicity 1)  6 Tc 2.42
Tc1 0.0000 0.0000 0.5000 (multiplicity 3)  2 Hf 2.42
Bi1 0.5000 0.5000 0.5000 (multiplicity 1)  12 Tc 3.42